# 1
# Na2Tl2Sn

A geometry-optimized Na2Tl2Sn structure (GGA-PBE, the Alexandria database).

abc: 8.614 8.614 3.761
angles: 90.00 90.00 90.00
Sites, in units of the cell vectors:
1 Na 0.136 0.364 0.000
2 Na 0.364 0.864 0.000
3 Na 0.636 0.136 0.000
4 Na 0.864 0.636 0.000
5 Tl 0.164 0.664 0.500
6 Tl 0.336 0.164 0.500
7 Tl 0.664 0.836 0.500
8 Tl 0.836 0.336 0.500
9 Sn 0.000 0.000 0.000
10 Sn 0.500 0.500 0.000

Results
distance to the lowest polymorph of the same formula	113	meV per atom
E_form	0.0012	eV per atom
raw total energy	-2.274	eV/atom

=====

# 2
# CeSm4Ho2

A geometry-optimized CeSm4Ho2 structure (GGA-PBE, the Alexandria database).

abc: 3.595 3.595 20.373
angles: 90.03 90.03 60.03
Sites, in units of the cell vectors:
1 Ce 0.000 0.000 0.000
2 Sm 0.333 0.333 0.142
3 Sm 0.334 0.334 0.856
4 Sm 0.667 0.667 0.427
5 Sm 0.668 0.668 0.710
6 Ho 0.000 0.000 0.285
7 Ho 0.001 0.001 0.569

Results
distance to the lowest polymorph of the same formula	0	meV per atom
E_form	0.0424	eV per atom
raw total energy	-4.810	eV/atom

=====

# 3
# ScInNiAu

A geometry-optimized ScInNiAu structure (GGA-PBE, the Alexandria database).

abc: 4.647 4.647 4.647
angles: 60.00 60.00 60.00
Sites, in units of the cell vectors:
1 Sc 0.000 0.000 0.000
2 In 0.500 0.500 0.500
3 Ni 0.750 0.750 0.750
4 Au 0.250 0.250 0.250

Results
E_form	-0.4752	eV per atom
raw total energy	-5.007	eV/atom

=====

# 4
# Ac2Sb3AsIr4

A geometry-optimized Ac2Sb3AsIr4 structure (GGA-PBE, the Alexandria database).

abc: 4.604 4.604 10.491
angles: 90.00 90.00 90.00
Sites, in units of the cell vectors:
1 Ac 0.000 0.500 0.245
2 Ac 0.500 0.000 0.755
3 Sb 0.000 0.000 0.000
4 Sb 0.000 0.500 0.634
5 Sb 0.500 0.000 0.366
6 As 0.500 0.500 0.000
7 Ir 0.000 0.000 0.500
8 Ir 0.000 0.500 0.886
9 Ir 0.500 0.000 0.114
10 Ir 0.500 0.500 0.500

Results
raw total energy	-6.722	eV/atom
ΔE_f (raw)	-0.655	eV per atom

=====

# 5
# Mg3PaPd4

A geometry-optimized Mg3PaPd4 structure (GGA-PBE, the Alexandria database).

abc: 5.719 5.719 5.719
angles: 109.47 109.47 109.47
Sites, in units of the cell vectors:
1 Mg 0.000 0.500 0.500
2 Mg 0.500 0.000 0.500
3 Mg 0.500 0.500 0.000
4 Pa 0.000 0.000 0.000
5 Pd 0.000 0.000 0.500
6 Pd 0.000 0.500 0.000
7 Pd 0.500 0.000 0.000
8 Pd 0.500 0.500 0.500

Results
E_form	-0.5777	eV per atom
raw total energy	-4.959	eV/atom

=====

# 6
# TeIrW

A geometry-optimized TeIrW structure (GGA-PBE, the Alexandria database).

abc: 4.424 4.424 4.424
angles: 60.00 60.00 60.00
Sites, in units of the cell vectors:
1 Te 0.000 0.000 0.000
2 Ir 0.500 0.500 0.500
3 W 0.250 0.250 0.250

Results
distance to the lowest polymorph of the same formula	76	meV per atom
raw total energy	-7.806	eV/atom
ΔE_f (raw)	0.513	eV per atom

=====

- The lowest raw total energy belongs to which entry?
  TeIrW